Computed, not measured: an optimized crystal structure of Nd5Y8Th at the PBE level of DFT.

a b c (Å): 8.5536 8.5536 8.5536
angles (deg): 110.58 107.28 110.58
Last column: nearest neighbours and their distance in Å.
Sites, in units of the cell vectors:
Y: 0.1615 0.7380 0.0727  5 Nd 3.19-3.55, 1 Th 3.27
Nd: 0.8656 0.8972 0.1958  8 Y 3.38-3.56, 2 Nd 3.76
Y: 0.9273 0.0888 0.6653  5 Nd 3.19-3.55, 1 Th 3.27
Y: 0.6591 0.3980 0.9161  5 Nd 3.38-3.56, 4 Y 3.63-3.76
Y: 0.5180 0.6020 0.2611  5 Nd 3.38-3.56, 4 Y 3.63-3.76
Nd: 0.5000 0.0000 0.5000  8 Y 3.19-3.38
Y: 0.7389 0.2569 0.3409  5 Nd 3.38-3.56, 4 Y 3.63-3.76
Nd: 0.8042 0.6699 0.7014  8 Y 3.38-3.56, 2 Nd 3.76
Y: 0.0839 0.7431 0.4820  5 Nd 3.38-3.56, 4 Y 3.63-3.76
Nd: 0.0315 0.3301 0.1344  8 Y 3.38-3.56, 2 Nd 3.76
Nd: 0.2986 0.1028 0.9685  8 Y 3.38-3.56, 2 Nd 3.76
Th: 0.2500 0.5000 0.7500  4 Y 3.27
Y: 0.3347 0.2620 0.4235  5 Nd 3.19-3.55, 1 Th 3.27
Y: 0.5765 0.9112 0.8385  5 Nd 3.19-3.55, 1 Th 3.27

D(E_F), states/eV/f.u.: 21.49
Magnetic moment, μB/cell: 1.22
Formation energy, meV per atom: 269

Computed, not measured: an optimized crystal structure of CdSbPdO6 at the PBE level of DFT.

a b c (Å): 5.2988 5.2988 9.6485
angles (deg): 90.00 90.00 120.00
Last column: nearest neighbours and their distance in Å.
Sites, in units of the cell vectors:
O: 0.0016 0.3648 0.6366  1 Pd 2.01, 1 Sb 2.02
O: 0.9984 0.6352 0.3634  1 Pd 2.01, 1 Sb 2.02
O: 0.3648 0.3632 0.3634  1 Pd 2.01, 1 Sb 2.02
Sb: 0.6667 0.3333 0.7500  6 O 2.02
O: 0.6368 0.6352 0.1366  1 Pd 2.01, 1 Sb 2.02
Pd: 0.6667 0.3333 0.2500  6 O 2.01
O: 0.0016 0.6368 0.8634  1 Pd 2.01, 1 Sb 2.02
Pd: 0.3333 0.6667 0.7500  6 O 2.01
O: 0.3632 0.9984 0.6366  1 Pd 2.01, 1 Sb 2.02
Cd: 0.0000 0.0000 0.0000  6 O 2.34
O: 0.3632 0.3648 0.8634  1 Pd 2.01, 1 Sb 2.02
Sb: 0.3333 0.6667 0.2500  6 O 2.02
O: 0.6352 0.9984 0.8634  1 Pd 2.01, 1 Sb 2.02
O: 0.6368 0.0016 0.3634  1 Pd 2.01, 1 Sb 2.02
O: 0.6352 0.6368 0.6366  1 Pd 2.01, 1 Sb 2.02
Cd: 0.0000 0.0000 0.5000  6 O 2.34
O: 0.9984 0.3632 0.1366  1 Pd 2.01, 1 Sb 2.02
O: 0.3648 0.0016 0.1366  1 Pd 2.01, 1 Sb 2.02

D(E_F), states/eV/f.u.: 6.49
Magnetic moment, μB/cell: 1.79
Formation energy from raw total energies, meV/atom: -848

Computed, not measured: an optimized crystal structure of Ac2TlGe at the PBE level of DFT.

a b c (Å): 4.4864 6.6194 9.7689
angles (deg): 112.03 90.00 90.00
Last column: nearest neighbours and their distance in Å.
Sites, in units of the cell vectors:
Ac: 0.7500 0.2168 0.4389  3 Ge 3.32-3.42, 3 Tl 3.48-3.59
Ac: 0.2500 0.7756 0.0808  3 Ge 3.32-3.70, 4 Tl 3.47-3.55
Tl: 0.7500 0.6601 0.7908  2 Ge 2.98
Ac: 0.7500 0.2244 0.9192  3 Ge 3.32-3.70, 4 Tl 3.47-3.55
Tl: 0.2500 0.3399 0.2092  2 Ge 2.98
Ge: 0.7500 0.6601 0.2913  2 Tl 2.98, 4 Ac 3.32
Ac: 0.2500 0.7832 0.5611  3 Ge 3.32-3.42, 3 Tl 3.48-3.59
Ge: 0.2500 0.3399 0.7087  2 Tl 2.98, 4 Ac 3.32

D(E_F), states/eV/f.u.: 3.26
Magnetic moment, μB/cell: 0.90
Formation energy, meV per atom: -527

Computed, not measured: an optimized crystal structure of LaDyTm2In4 at the PBE level of DFT.

a b c (Å): 5.3538 5.3538 9.3141
angles (deg): 73.30 73.30 60.00
Last column: nearest neighbours and their distance in Å.
Sites, in units of the cell vectors:
In: 0.6226 0.6226 0.1323  1 Dy 3.23, 4 Tm 3.26-3.37, 3 La 3.30
Tm: 0.2496 0.2496 0.2512  8 In 3.23-3.37
Dy: 0.5000 0.5000 0.5000  8 In 3.23-3.26
In: 0.3774 0.3774 0.8677  1 Dy 3.23, 4 Tm 3.26-3.37, 3 La 3.30
In: 0.8728 0.8728 0.3816  4 Tm 3.23-3.30, 3 Dy 3.26, 1 La 3.35
La: 0.0000 0.0000 0.0000  8 In 3.30-3.35
Tm: 0.7504 0.7504 0.7488  8 In 3.23-3.37
In: 0.1272 0.1272 0.6184  4 Tm 3.23-3.30, 3 Dy 3.26, 1 La 3.35

D(E_F), states/eV/f.u.: 3.62
Magnetic moment, μB/cell: 0.00
Formation energy, meV per atom: -452